# MgScCl3 (PBE, relaxed)
# - total moment (Bohr magnetons per cell) = 0.86
# - raw formation energy (eV/atom) = -1.30
# - volume (Å³ per atom) = 26.35
# - total DFT energy (no corrections) (eV per cell) = -19.948
data_MgScCl3
_chemical_formula_sum 'Mg1 Sc1 Cl3'
_cell_length_a 5.088
_cell_length_b 5.088
_cell_length_c 5.088
_cell_angle_alpha 90.00
_cell_angle_beta 90.00
_cell_angle_gamma 90.00
_symmetry_space_group_name_H-M 'P m -3 m'
_symmetry_Int_Tables_number 221
_symmetry_space_group_name_Hall '-P 4 2 3'
loop_
_atom_site_label
_atom_site_fract_x
_atom_site_fract_y
_atom_site_fract_z
_atom_site_occupancy
Mg1 0.000 0.000 0.000 1
Sc1 0.500 0.500 0.500 1
Cl1 0.000 0.500 0.500 1

---

# MgScCl2 (PBE, relaxed)
# - total moment (Bohr magnetons per cell) = 0.79
# - raw formation energy (eV/atom) = -1.15
# - volume (Å³ per atom) = 25.29
# - total DFT energy (no corrections) (eV per cell) = -16.207
data_MgScCl2
_chemical_formula_sum 'Mg1 Sc1 Cl2'
_cell_length_a 3.476
_cell_length_b 3.453
_cell_length_c 8.600
_cell_angle_alpha 90.00
_cell_angle_beta 101.45
_cell_angle_gamma 90.00
_symmetry_space_group_name_H-M 'P 1 m 1'
_symmetry_Int_Tables_number 6
_symmetry_space_group_name_Hall 'P -2y'
loop_
_atom_site_label
_atom_site_fract_x
_atom_site_fract_y
_atom_site_fract_z
_atom_site_occupancy
Mg1 0.000 0.000 0.000 1
Sc1 0.379 0.500 0.751 1
Cl1 0.276 0.000 0.539 1
Cl2 0.575 0.500 0.141 1

---

# Mg2ScCl (PBE, relaxed)
# - total moment (Bohr magnetons per cell) = 1.83
# - raw formation energy (eV/atom) = -0.21
# - volume (Å³ per atom) = 23.59
# - total DFT energy (no corrections) (eV per cell) = -48.800
data_Mg2ScCl
_chemical_formula_sum 'Mg8 Sc4 Cl4'
_cell_length_a 8.160
_cell_length_b 8.160
_cell_length_c 5.667
_cell_angle_alpha 90.00
_cell_angle_beta 90.00
_cell_angle_gamma 90.00
_symmetry_space_group_name_H-M 'I -4 2 d'
_symmetry_Int_Tables_number 122
_symmetry_space_group_name_Hall 'I -4 2bw'
loop_
_atom_site_label
_atom_site_fract_x
_atom_site_fract_y
_atom_site_fract_z
_atom_site_occupancy
Mg1 0.207 0.250 0.125 1
Sc1 0.000 0.000 0.500 1
Cl1 0.000 0.000 0.000 1

---

Repeat the second record exactly.
# MgScCl2 (PBE, relaxed)
# - total moment (Bohr magnetons per cell) = 0.79
# - raw formation energy (eV/atom) = -1.15
# - volume (Å³ per atom) = 25.29
# - total DFT energy (no corrections) (eV per cell) = -16.207
data_MgScCl2
_chemical_formula_sum 'Mg1 Sc1 Cl2'
_cell_length_a 3.476
_cell_length_b 3.453
_cell_length_c 8.600
_cell_angle_alpha 90.00
_cell_angle_beta 101.45
_cell_angle_gamma 90.00
_symmetry_space_group_name_H-M 'P 1 m 1'
_symmetry_Int_Tables_number 6
_symmetry_space_group_name_Hall 'P -2y'
loop_
_atom_site_label
_atom_site_fract_x
_atom_site_fract_y
_atom_site_fract_z
_atom_site_occupancy
Mg1 0.000 0.000 0.000 1
Sc1 0.379 0.500 0.751 1
Cl1 0.276 0.000 0.539 1
Cl2 0.575 0.500 0.141 1

---

Copy entry 2 word for word.
# MgScCl2 (PBE, relaxed)
# - total moment (Bohr magnetons per cell) = 0.79
# - raw formation energy (eV/atom) = -1.15
# - volume (Å³ per atom) = 25.29
# - total DFT energy (no corrections) (eV per cell) = -16.207
data_MgScCl2
_chemical_formula_sum 'Mg1 Sc1 Cl2'
_cell_length_a 3.476
_cell_length_b 3.453
_cell_length_c 8.600
_cell_angle_alpha 90.00
_cell_angle_beta 101.45
_cell_angle_gamma 90.00
_symmetry_space_group_name_H-M 'P 1 m 1'
_symmetry_Int_Tables_number 6
_symmetry_space_group_name_Hall 'P -2y'
loop_
_atom_site_label
_atom_site_fract_x
_atom_site_fract_y
_atom_site_fract_z
_atom_site_occupancy
Mg1 0.000 0.000 0.000 1
Sc1 0.379 0.500 0.751 1
Cl1 0.276 0.000 0.539 1
Cl2 0.575 0.500 0.141 1

---

> The lowest total DFT energy (no corrections) belongs to which entry?

Mg2ScCl

---

> The lowest volume belongs to which entry?

Mg2ScCl